[1]
4
Lattice="3.749 -3.767 0.000 3.749 3.767 0.000 -0.052 0.000 2.702" Properties=species:S:1:pos:R:3 comment="PBE AgOsSe2, relaxed" magnetic_moment_mub_per_cell=0.00 e_form_raw_ev_per_atom=0.64 total_energy_ev_per_fu=-18.5 relative_energy_ev_per_atom=0.537 crystal_system=monoclinic pbc="T T T"
Ag 0.000 0.000 0.000
Os 3.749 0.000 0.000
Se 1.874 1.883 0.000
Se 1.874 -1.883 0.000


[2]
5
Lattice="4.926 0.000 0.000 0.000 4.926 0.000 0.000 0.000 4.588" Properties=species:S:1:pos:R:3 comment="PBE Ta2AgOsSe, relaxed" magnetic_moment_mub_per_cell=0.00 e_form_raw_ev_per_atom=2.36 total_energy_ev_per_fu=-29.4 crystal_system=tetragonal pbc="T T T"
Ta 0.000 2.463 0.000
Ta 2.463 0.000 0.000
Ag 0.000 0.000 0.000
Os 2.463 2.463 2.294
Se 0.000 0.000 2.294


[3]
6
Lattice="0.000 3.529 3.529 3.529 0.000 3.529 3.529 3.529 0.000" Properties=species:S:1:pos:R:3 comment="PBE Si4AgOs, relaxed" magnetic_moment_mub_per_cell=0.00 e_form_raw_ev_per_atom=0.68 total_energy_ev_per_fu=-31.7 crystal_system=cubic pbc="T T T"
Si 0.875 0.875 0.875
Si 2.654 2.654 0.875
Si 2.654 0.875 2.654
Si 0.875 2.654 2.654
Ag 3.529 3.529 3.529
Os 5.293 5.293 5.293


[4]
4
Lattice="1.449 0.836 8.807 -1.449 0.836 8.807 0.000 -1.673 8.807" Properties=species:S:1:pos:R:3 comment="PBE SiAg2Os, relaxed" magnetic_moment_mub_per_cell=0.00 e_form_raw_ev_per_atom=0.19 total_energy_ev_per_fu=-21.6 crystal_system=trigonal pbc="T T T"
Si 0.000 0.000 0.000
Ag 0.000 0.000 13.455
Ag 0.000 0.000 19.824
Os 0.000 0.000 7.075


[5]
4
Lattice="3.623 0.000 0.000 0.000 1.446 6.187 0.000 -1.446 6.187" Properties=species:S:1:pos:R:3 comment="PBE SiAg2Os, relaxed" magnetic_moment_mub_per_cell=0.00 e_form_raw_ev_per_atom=0.21 total_energy_ev_per_fu=-21.5 crystal_system=orthorhombic pbc="T T T"
Si 0.000 0.000 0.000
Ag 0.000 0.000 9.710
Ag 1.812 0.000 1.884
Os 1.812 0.000 5.421


[6]
4
Lattice="2.875 0.000 0.000 0.000 4.031 0.000 -1.429 0.000 5.124" Properties=species:S:1:pos:R:3 comment="PBE SiAgOs2, relaxed" magnetic_moment_mub_per_cell=0.00 e_form_raw_ev_per_atom=0.36 total_energy_ev_per_fu=-29.3 crystal_system=monoclinic pbc="T T T"
Si 0.000 0.000 0.000
Ag 1.434 2.015 1.067
Os 0.004 0.000 2.664
Os 1.441 2.015 3.737


[7]
4
Lattice="5.138 -1.423 0.000 5.138 1.423 0.000 -1.956 0.000 4.042" Properties=species:S:1:pos:R:3 comment="PBE SiAgOs2, relaxed" magnetic_moment_mub_per_cell=0.00 e_form_raw_ev_per_atom=0.22 total_energy_ev_per_fu=-29.9 crystal_system=monoclinic pbc="T T T"
Si 0.000 0.000 0.000
Ag 4.161 0.000 2.021
Os 1.426 0.000 3.189
Os 6.895 0.000 0.853


[8]
4
Lattice="2.723 -4.545 0.000 2.723 4.545 0.000 -1.315 0.000 2.418" Properties=species:S:1:pos:R:3 comment="PBE SiAgOs2, relaxed" magnetic_moment_mub_per_cell=0.00 e_form_raw_ev_per_atom=0.61 total_energy_ev_per_fu=-28.3 crystal_system=monoclinic pbc="T T T"
Si 0.000 0.000 0.000
Ag 2.723 0.000 0.000
Os 0.704 2.272 1.209
Os 0.704 -2.272 1.209


[9]
4
Lattice="2.613 -4.470 0.000 2.613 4.470 0.000 0.000 0.000 2.739" Properties=species:S:1:pos:R:3 comment="PBE SiAg2Os, relaxed" magnetic_moment_mub_per_cell=0.00 e_form_raw_ev_per_atom=0.54 total_energy_ev_per_fu=-20.2 crystal_system=orthorhombic pbc="T T T"
Si 0.000 0.000 0.000
Ag 1.307 2.235 1.370
Ag 1.307 -2.235 1.370
Os 2.613 0.000 0.000


[10]
4
Lattice="3.030 0.000 0.000 0.000 3.030 0.000 0.000 0.000 6.975" Properties=species:S:1:pos:R:3 comment="PBE SiAg2Os, relaxed" magnetic_moment_mub_per_cell=0.00 e_form_raw_ev_per_atom=0.16 total_energy_ev_per_fu=-21.7 crystal_system=tetragonal pbc="T T T"
Si 0.000 0.000 0.000
Ag 0.000 0.000 3.851
Ag 1.515 1.515 1.882
Os 1.515 1.515 5.878


[11]
4
Lattice="4.348 0.000 0.000 0.000 4.348 0.000 0.000 0.000 3.031" Properties=species:S:1:pos:R:3 comment="PBE SiAgOs2, relaxed" magnetic_moment_mub_per_cell=0.00 e_form_raw_ev_per_atom=0.51 total_energy_ev_per_fu=-28.7 crystal_system=tetragonal pbc="T T T"
Si 0.000 0.000 0.000
Ag 2.174 2.174 0.000
Os 0.000 2.174 1.515
Os 2.174 0.000 1.515


[12]
10
Lattice="7.126 0.000 0.000 0.000 7.126 0.000 0.000 0.000 2.821" Properties=species:S:1:pos:R:3 comment="PBE Si2AgOs2, relaxed" magnetic_moment_mub_per_cell=0.00 e_form_raw_ev_per_atom=-0.07 total_energy_ev_per_fu=-36.5 relative_energy_ev_per_atom=0.000 crystal_system=tetragonal pbc="T T T"
Si 1.030 2.533 0.000
Si 2.533 6.096 0.000
Si 4.593 1.030 0.000
Si 6.096 4.593 0.000
Ag 0.000 0.000 0.000
Ag 3.563 3.563 0.000
Os 1.063 4.626 1.411
Os 2.500 1.063 1.411
Os 4.626 6.063 1.411
Os 6.063 2.500 1.411